{
  "formula": "K2NpWO6",
  "functional": "PBE with a Hubbard U",
  "state": "relaxed",
  "cell": [[-2.934, 2.963, 4.166], [2.934, -2.963, 4.166], [2.934, 2.963, -4.166]],
  "species": ["K", "K", "Np", "W", "O", "O", "O", "O", "O", "O"],
  "frac_coords": [[0.249, 0.249, 0.000], [0.751, 0.751, 0.000], [0.500, 0.000, 0.500], [0.000, 0.500, 0.500], [0.242, 0.262, 0.504], [0.242, 0.738, 0.979], [0.245, 0.745, 0.500], [0.755, 0.255, 0.500], [0.758, 0.262, 0.021], [0.758, 0.738, 0.496]],
  "sg": "No. 71",
  "dft_energy_ev_per_atom": -7.57,
  "n_ef_per_ev_cell": 4.155
}